Below is a relaxed structure of Ac2Ga3Au17, with properties calculated at the GGA-PBE level.

## Properties
* total moment: 0.00 μB per formula unit
* V: 1421.5 Å³ per cell
* calculated density: 14059 kg/m3
* formation energy from the elements: -0.094 eV/atom

Unit cell a=10.7642 b=10.7642 c=14.1661 alpha=90.00 beta=90.00 gamma=120.00
Last column: nearest neighbours and their distance in Å.
Space group R-3m (No. 166, hexagonal axes)
Unique sites:
Ac: 0.0000 0.0000 0.1664 (multiplicity 6)  3 Ga 3.11, 1 Au 3.25
Ga: 0.0000 0.5000 0.5000 (multiplicity 9)  4 Au 2.55
Au: 0.0000 0.0000 0.3957 (multiplicity 6)  10 Au 2.96-3.23, 1 Ac 3.25
Au: 0.0000 0.2631 0.5000 (multiplicity 18)  1 Ga 2.55, 6 Au 2.80-2.83
Au: 0.0000 0.5000 0.0000 (multiplicity 9)  4 Au 2.83
Au: 0.0361 0.5181 0.6781 (multiplicity 18)  1 Ga 2.55, 4 Au 2.79-2.80